1.
The following is a PBE calculation of a geometry-optimized NaAc3B2N6 structure, from the Alexandria database.

a b c (Å): 5.780 5.780 6.437
angles (deg): 90.00 90.00 120.00
Atoms (fractional coordinates):
Na 0.000 0.000 0.000
Ac 0.000 0.000 0.500
Ac 0.333 0.667 0.163
Ac 0.667 0.333 0.837
B 0.333 0.667 0.741
B 0.667 0.333 0.259
N 0.189 0.379 0.771
N 0.189 0.811 0.771
N 0.379 0.189 0.229
N 0.621 0.811 0.771
N 0.811 0.189 0.229
N 0.811 0.621 0.229

Summary:
Calculated total energy   -7.19 eV per atom
Space group   No. 164
V   15.52 A^3/atom

2.
The following is a PBE calculation of a geometry-optimized Ac3NbB2N6 structure, from the Alexandria database.

a b c (Å): 5.589 5.589 6.640
angles (deg): 90.00 90.00 120.00
Atoms (fractional coordinates):
Ac 0.000 0.000 0.000
Ac 0.333 0.667 0.677
Ac 0.667 0.333 0.323
Nb 0.000 0.000 0.500
B 0.333 0.667 0.275
B 0.667 0.333 0.725
N 0.181 0.362 0.306
N 0.181 0.819 0.306
N 0.362 0.181 0.694
N 0.638 0.819 0.306
N 0.819 0.181 0.694
N 0.819 0.638 0.694

Summary:
Calculated total energy   -8.20 eV per atom
Space group   No. 164
V   14.97 A^3/atom

3.
The following is a PBE calculation of a geometry-optimized AcNdBN3 structure, from the Alexandria database.

a b c (Å): 5.791 5.791 6.360
angles (deg): 90.00 90.00 120.00
Atoms (fractional coordinates):
Ac 0.333 0.667 0.250
Ac 0.667 0.333 0.750
Nd 0.000 0.000 0.000
Nd 0.000 0.000 0.500
B 0.333 0.667 0.750
B 0.667 0.333 0.250
N 0.187 0.373 0.750
N 0.187 0.813 0.750
N 0.373 0.187 0.250
N 0.627 0.813 0.750
N 0.813 0.187 0.250
N 0.813 0.627 0.250

Summary:
Calculated total energy   -7.90 eV per atom
Space group   No. 194
V   15.39 A^3/atom

4.
The following is a PBE calculation of a geometry-optimized Ac3NdB2N6 structure, from the Alexandria database.

a b c (Å): 5.828 5.828 6.716
angles (deg): 90.00 90.00 120.00
Atoms (fractional coordinates):
Ac 0.000 0.000 0.000
Ac 0.333 0.667 0.674
Ac 0.667 0.333 0.326
Nd 0.000 0.000 0.500
B 0.333 0.667 0.255
B 0.667 0.333 0.745
N 0.188 0.376 0.274
N 0.188 0.812 0.274
N 0.376 0.188 0.726
N 0.624 0.812 0.274
N 0.812 0.188 0.726
N 0.812 0.624 0.726

Summary:
Calculated total energy   -7.81 eV per atom
Space group   No. 164
V   16.46 A^3/atom

5.
The following is a PBE calculation of a geometry-optimized AcNdB2N4 structure, from the Alexandria database.

a b c (Å): 5.678 5.864 6.735
angles (deg): 90.00 90.00 90.00
Atoms (fractional coordinates):
Ac 0.000 0.000 0.000
Ac 0.500 0.500 0.500
Nd 0.000 0.000 0.500
Nd 0.500 0.500 0.000
B 0.000 0.500 0.236
B 0.000 0.500 0.764
B 0.500 0.000 0.264
B 0.500 0.000 0.736
N 0.174 0.343 0.764
N 0.174 0.657 0.236
N 0.326 0.157 0.264
N 0.326 0.843 0.736
N 0.674 0.157 0.736
N 0.674 0.843 0.264
N 0.826 0.343 0.236
N 0.826 0.657 0.764

Summary:
Calculated total energy   -8.05 eV per atom
Space group   No. 23
V   14.01 A^3/atom

6.
The following is a PBE calculation of a geometry-optimized Ac3NiB2N6 structure, from the Alexandria database.

a b c (Å): 5.529 5.529 6.540
angles (deg): 90.00 90.00 120.00
Atoms (fractional coordinates):
Ac 0.000 0.000 0.000
Ac 0.333 0.667 0.677
Ac 0.667 0.333 0.323
Ni 0.000 0.000 0.500
B 0.333 0.667 0.277
B 0.667 0.333 0.723
N 0.180 0.359 0.290
N 0.180 0.820 0.290
N 0.359 0.180 0.710
N 0.641 0.820 0.290
N 0.820 0.180 0.710
N 0.820 0.641 0.710

Summary:
Calculated total energy   -7.51 eV per atom
Space group   No. 164
V   14.43 A^3/atom

Q: The lowest V belongs to which entry?
A: AcNdB2N4

What did the third record say?
The following is a PBE calculation of a geometry-optimized AcNdBN3 structure, from the Alexandria database.

a b c (Å): 5.791 5.791 6.360
angles (deg): 90.00 90.00 120.00
Atoms (fractional coordinates):
Ac 0.333 0.667 0.250
Ac 0.667 0.333 0.750
Nd 0.000 0.000 0.000
Nd 0.000 0.000 0.500
B 0.333 0.667 0.750
B 0.667 0.333 0.250
N 0.187 0.373 0.750
N 0.187 0.813 0.750
N 0.373 0.187 0.250
N 0.627 0.813 0.750
N 0.813 0.187 0.250
N 0.813 0.627 0.250

Summary:
Calculated total energy   -7.90 eV per atom
Space group   No. 194
V   15.39 A^3/atom

Q: Which of these has the lowest V?
A: AcNdB2N4

Copy entry 2 word for word.
The following is a PBE calculation of a geometry-optimized Ac3NbB2N6 structure, from the Alexandria database.

a b c (Å): 5.589 5.589 6.640
angles (deg): 90.00 90.00 120.00
Atoms (fractional coordinates):
Ac 0.000 0.000 0.000
Ac 0.333 0.667 0.677
Ac 0.667 0.333 0.323
Nb 0.000 0.000 0.500
B 0.333 0.667 0.275
B 0.667 0.333 0.725
N 0.181 0.362 0.306
N 0.181 0.819 0.306
N 0.362 0.181 0.694
N 0.638 0.819 0.306
N 0.819 0.181 0.694
N 0.819 0.638 0.694

Summary:
Calculated total energy   -8.20 eV per atom
Space group   No. 164
V   14.97 A^3/atom